1.
An optimized crystal structure of AcMg4Ru2, computed with PBE-GGA.

Computed properties:
Size of the total moment, μB per cell: 0.00
Density, g/cm³: 5.628
Final energy, eV for the cell shown: -58.6

Cell: 4.503 15.285 4.514 Å, 90.00 90.00 90.00°
Space group Cmmm (No. 65)
Unique sites:
Ac 0.000 0.000 0.000 x2
Mg 0.000 0.179 0.500 x4
Mg 0.000 0.327 0.000 x4
Ru 0.000 0.421 0.500 x4

2.
An optimized crystal structure of RbNp3Cl10, computed with PBE-GGA.

Computed properties:
Size of the total moment, μB per cell: 96.00
Density, g/cm³: 5.059
Final energy, eV for the cell shown: -660.6

Cell: 14.459 14.459 14.459 Å, 90.00 90.00 90.00°
Space group Fm-3m (No. 225)
Unique sites:
Rb 0.250 0.250 0.250 x8
Np 0.000 0.000 0.239 x24
Cl 0.000 0.168 0.332 x48
Cl 0.115 0.115 0.115 x32

3.
An optimized crystal structure of Na2TmCuCl6, computed with PBE-GGA.

Computed properties:
Size of the total moment, μB per cell: 0.27
Density, g/cm³: 3.102
Final energy, eV for the cell shown: -151.7

Cell: 10.170 10.170 10.170 Å, 90.00 90.00 90.00°
Space group Fm-3m (No. 225)
Unique sites:
Na 0.250 0.250 0.250 x8
Tm 0.000 0.000 0.000 x4
Cu 0.000 0.000 0.500 x4
Cl 0.000 0.000 0.254 x24

4.
An optimized crystal structure of CaUBiO6, computed with PBE-GGA.

Computed properties:
Size of the total moment, μB per cell: 1.10
Density, g/cm³: 6.764
Final energy, eV for the cell shown: -135.9

Cell: 5.7772 5.7772 9.9053 Å, 90.00 90.00 120.00°
Space group P-31c (No. 163)
Unique sites:
Ca 0.0000 0.0000 0.0000 x2
U 0.3333 0.6667 0.2500 x2
Bi 0.3333 0.6667 0.7500 x2
O 0.0214 0.3630 0.1355 x12

Question: Number 1 is which compound?
Answer: AcMg4Ru2